(1)
Entry from Alexandria via LeMat-Bulk: an optimized crystal structure of Sr3Mg4 (GGA-PBE).

formation energy from the elements = 0.26 eV/atom
total moment = 0.00 Bohr magnetons per cell
E = -1.371 eV/atom
V = 39.94 A^3/atom
N(E_F) = 6.6 states/eV/f.u.
symmetry = No. 191
crystal system = hexagonal
E above lowest polymorph = 26.38 kJ per mole of atoms

Geometry as extended XYZ:
```
7
Lattice="-0.7756 4.1925 6.0933 -1.1685 -7.3356 0.3602 5.6310 -0.8336 1.2903" Properties=species:S:1:pos:R:3 pbc="T T T"
Sr -0.5842 -3.6678 0.1801
Sr -0.9720 -1.5716 3.2268
Sr -0.3878 2.0962 3.0467
Mg 1.4151 -0.2095 0.3242
Mg 4.2159 -0.6241 0.9660
Mg 1.9090 -0.0670 4.8274
Mg 1.7780 -3.9097 2.9164
```

=====

(2)
Entry from Alexandria via LeMat-Bulk: an optimized crystal structure of Sr3Mg (GGA-PBE).

formation energy from the elements = 0.07 eV/atom
total moment = 0.00 Bohr magnetons per cell
E = -1.591 eV/atom
V = 45.84 A^3/atom
N(E_F) = 3.6 states/eV/f.u.
symmetry = No. 63
crystal system = orthorhombic

Geometry as extended XYZ:
```
8
Lattice="2.6863 2.8850 6.7731 -6.3919 -4.2322 1.6268 3.5621 -5.0896 0.7551" Properties=species:S:1:pos:R:3 pbc="T T T"
Sr 2.0050 -4.0595 2.0773
Sr -2.1486 -2.3773 7.0778
Sr -1.1905 -6.2626 2.3020
Sr 1.0469 -0.1742 6.8531
Sr 3.7634 -2.3789 5.1103
Sr -3.9069 -4.0579 4.0448
Mg -0.6488 -1.8320 3.6781
Mg 0.5052 -4.6048 5.4770
```

=====

(3)
Entry from Alexandria via LeMat-Bulk: an optimized crystal structure of SrMg (GGA-PBE).

formation energy from the elements = -0.02 eV/atom
total moment = 0.00 Bohr magnetons per cell
E = -1.661 eV/atom
V = 37.00 A^3/atom
N(E_F) = 1.8 states/eV/f.u.
symmetry = No. 38
crystal system = orthorhombic

Geometry as extended XYZ:
```
6
Lattice="-4.6873 6.0847 4.9551 2.3106 -4.1213 -7.8245 -4.3019 -3.9915 0.8320" Properties=species:S:1:pos:R:3 pbc="T T T"
Sr -4.4246 5.7015 4.4754
Sr -2.2300 2.5010 0.4677
Sr -5.4775 2.1045 2.8862
Mg 0.1711 -1.0010 -3.9173
Mg -0.6940 -4.8720 -5.8495
Mg -3.2604 -1.1291 -1.1627
```

=====

(4)
Entry from Alexandria via LeMat-Bulk: an optimized crystal structure of SrMg (GGA-PBE).

formation energy from the elements = 0.21 eV/atom
total moment = 0.00 Bohr magnetons per cell
E = -1.424 eV/atom
V = 43.08 A^3/atom
N(E_F) = 1.7 states/eV/f.u.
symmetry = No. 225
crystal system = cubic

Geometry as extended XYZ:
```
2
Lattice="4.9577 0.0000 0.0000 2.4788 4.2935 0.0000 2.4788 1.4312 4.0479" Properties=species:S:1:pos:R:3 pbc="T T T"
Sr 4.9577 2.8623 2.0240
Mg 0.0000 0.0000 0.0000
```